# Te2HPtN | Alexandria via LeMat-Bulk | SCAN | single point on PBEsol structure
# Theoretical density (g cm⁻³): 10.41
# Calculated volume (A^3/atom): 14.84
# Magnetic moment (μB/f.u.): 0.00
data_Te2HPtN
_cell_length_a 5.115
_cell_length_b 5.115
_cell_length_c 2.837
_cell_angle_alpha 90.00
_cell_angle_beta 90.00
_cell_angle_gamma 90.00
_symmetry_space_group_name_H-M 'P 4/m m m'
_symmetry_Int_Tables_number 123
_symmetry_space_group_name_Hall '-P 4 2'
loop_
_atom_site_label
_atom_site_fract_x
_atom_site_fract_y
_atom_site_fract_z
Te1 0.000 0.500 0.000
H1 0.000 0.000 0.000
Pt1 0.500 0.500 0.500
N1 0.000 0.000 0.500

---

# NbHg2I2 | Alexandria via LeMat-Bulk | SCAN | single point on PBEsol structure
# Theoretical density (g cm⁻³): 8.16
# Calculated volume (A^3/atom): 30.44
# Uncorrected formation energy (meV per atom): 575
# Magnetic moment (μB/f.u.): 3.18
data_NbHg2I2
_cell_length_a 6.073
_cell_length_b 6.073
_cell_length_c 8.253
_cell_angle_alpha 90.00
_cell_angle_beta 90.00
_cell_angle_gamma 90.00
_symmetry_space_group_name_H-M 'I 4/m m m'
_symmetry_Int_Tables_number 139
_symmetry_space_group_name_Hall '-I 4 2'
loop_
_atom_site_label
_atom_site_fract_x
_atom_site_fract_y
_atom_site_fract_z
Nb1 0.000 0.000 0.000
Hg1 0.000 0.000 0.340
I1 0.000 0.500 0.250

---

# LiPSe2 | Alexandria via LeMat-Bulk | SCAN | single point on PBEsol structure
# Theoretical density (g cm⁻³): 4.32
# Calculated volume (A^3/atom): 18.84
# Uncorrected formation energy (meV per atom): -504
# Magnetic moment (μB/f.u.): 0.00
data_LiPSe2
_cell_length_a 3.672
_cell_length_b 3.672
_cell_length_c 5.590
_cell_angle_alpha 90.00
_cell_angle_beta 90.00
_cell_angle_gamma 90.00
_symmetry_space_group_name_H-M 'P 4 m m'
_symmetry_Int_Tables_number 99
loop_
_symmetry_equiv_pos_as_xyz
'x,y,z'
'-y,x,z'
'-x,-y,z'
'y,-x,z'
'-x,y,z'
'y,x,z'
'x,-y,z'
'-y,-x,z'
loop_
_atom_site_label
_atom_site_fract_x
_atom_site_fract_y
_atom_site_fract_z
Li1 0.000 0.000 0.000
P1 0.500 0.500 0.439
Se1 0.000 0.000 0.520
Se2 0.500 0.500 0.042

---

# Ta14Pt | Alexandria via LeMat-Bulk | SCAN | single point on PBEsol structure
# E_form (meV/atom): -135.5
# Theoretical density (g cm⁻³): 17.01
# Calculated volume (A^3/atom): 17.76
# Magnetic moment (μB/f.u.): 0.00
data_Ta14Pt
_cell_length_a 10.066
_cell_length_b 10.066
_cell_length_c 5.258
_cell_angle_alpha 90.00
_cell_angle_beta 90.00
_cell_angle_gamma 90.00
_symmetry_space_group_name_H-M 'P 42/m n m'
_symmetry_Int_Tables_number 136
_symmetry_space_group_name_Hall '-P 4n 2n'
loop_
_atom_site_label
_atom_site_fract_x
_atom_site_fract_y
_atom_site_fract_z
Ta1 0.036 0.369 0.000
Ta2 0.067 0.259 0.500
Ta3 0.102 0.102 0.000
Ta4 0.183 0.817 0.247
Pt1 0.000 0.000 0.500

---

# LiZr2MnH | Alexandria via LeMat-Bulk | SCAN | single point on PBEsol structure
# Theoretical density (g cm⁻³): 5.96
# Calculated volume (A^3/atom): 13.67
# Magnetic moment (μB/f.u.): 0.01
data_LiZr2MnH
_cell_length_a 4.524
_cell_length_b 4.524
_cell_length_c 3.339
_cell_angle_alpha 90.00
_cell_angle_beta 90.00
_cell_angle_gamma 90.00
_symmetry_space_group_name_H-M 'P 4/m m m'
_symmetry_Int_Tables_number 123
_symmetry_space_group_name_Hall '-P 4 2'
loop_
_atom_site_label
_atom_site_fract_x
_atom_site_fract_y
_atom_site_fract_z
Li1 0.000 0.000 0.000
Zr1 0.000 0.500 0.500
Mn1 0.500 0.500 0.000
H1 0.500 0.500 0.500

---

# KZn2Co2 | Alexandria via LeMat-Bulk | SCAN | single point on PBEsol structure
# E_form (meV/atom): 546.6
# Theoretical density (g cm⁻³): 5.54
# Calculated volume (A^3/atom): 17.24
# Magnetic moment (μB/f.u.): 3.57
data_KZn2Co2
_cell_length_a 4.383
_cell_length_b 4.383
_cell_length_c 8.974
_cell_angle_alpha 90.00
_cell_angle_beta 90.00
_cell_angle_gamma 90.00
_symmetry_space_group_name_H-M 'I 4/m m m'
_symmetry_Int_Tables_number 139
_symmetry_space_group_name_Hall '-I 4 2'
loop_
_atom_site_label
_atom_site_fract_x
_atom_site_fract_y
_atom_site_fract_z
K1 0.000 0.000 0.000
Zn1 0.000 0.500 0.250
Co1 0.000 0.000 0.379

---

# ReRh2W | Alexandria via LeMat-Bulk | SCAN | single point on PBEsol structure
# E_form (meV/atom): -219.5
# Theoretical density (g cm⁻³): 16.92
# Distance to the lowest polymorph of the same formula (meV/atom): 0
# Calculated volume (A^3/atom): 14.13
# Magnetic moment (μB/f.u.): 0.00
data_ReRh2W
_cell_length_a 2.710
_cell_length_b 4.371
_cell_length_c 4.772
_cell_angle_alpha 90.00
_cell_angle_beta 90.00
_cell_angle_gamma 90.00
_symmetry_space_group_name_H-M 'P m m 2'
_symmetry_Int_Tables_number 25
loop_
_symmetry_equiv_pos_as_xyz
'x,y,z'
'-x,-y,z'
'-x,y,z'
'x,-y,z'
loop_
_atom_site_label
_atom_site_fract_x
_atom_site_fract_y
_atom_site_fract_z
Re1 0.000 0.000 0.000
Rh1 0.500 0.000 0.504
Rh2 0.500 0.500 0.841
W1 0.000 0.500 0.336

---

# CaFe3Tc | Alexandria via LeMat-Bulk | SCAN | single point on PBEsol structure
# E_form (meV/atom): 953.0
# Theoretical density (g cm⁻³): 5.68
# Calculated volume (A^3/atom): 17.88
# Magnetic moment (μB/f.u.): 7.48
data_CaFe3Tc
_cell_length_a 4.471
_cell_length_b 4.471
_cell_length_c 4.471
_cell_angle_alpha 90.00
_cell_angle_beta 90.00
_cell_angle_gamma 90.00
_symmetry_space_group_name_H-M 'P m -3 m'
_symmetry_Int_Tables_number 221
_symmetry_space_group_name_Hall '-P 4 2 3'
loop_
_atom_site_label
_atom_site_fract_x
_atom_site_fract_y
_atom_site_fract_z
Ca1 0.000 0.000 0.000
Fe1 0.000 0.500 0.500
Tc1 0.500 0.500 0.500

---

# K2CoF6 | Alexandria via LeMat-Bulk | SCAN | single point on PBEsol structure
# Theoretical density (g cm⁻³): 3.21
# Calculated volume (A^3/atom): 14.46
# Uncorrected formation energy (meV per atom): -2499
# Magnetic moment (μB/f.u.): 1.00
data_K2CoF6
_cell_length_a 8.044
_cell_length_b 8.044
_cell_length_c 8.044
_cell_angle_alpha 90.00
_cell_angle_beta 90.00
_cell_angle_gamma 90.00
_symmetry_space_group_name_H-M 'F m -3 m'
_symmetry_Int_Tables_number 225
_symmetry_space_group_name_Hall '-F 4 2 3'
loop_
_atom_site_label
_atom_site_fract_x
_atom_site_fract_y
_atom_site_fract_z
K1 0.250 0.250 0.250
Co1 0.000 0.000 0.000
F1 0.000 0.000 0.222

---

# BaCrTe2 | Alexandria via LeMat-Bulk | SCAN | single point on PBEsol structure
# Theoretical density (g cm⁻³): 6.25
# Calculated volume (A^3/atom): 29.54
# Uncorrected formation energy (meV per atom): -673
# Magnetic moment (μB/f.u.): 4.03
data_BaCrTe2
_cell_length_a 5.467
_cell_length_b 5.467
_cell_length_c 3.953
_cell_angle_alpha 90.00
_cell_angle_beta 90.00
_cell_angle_gamma 90.00
_symmetry_space_group_name_H-M 'P 4/m m m'
_symmetry_Int_Tables_number 123
_symmetry_space_group_name_Hall '-P 4 2'
loop_
_atom_site_label
_atom_site_fract_x
_atom_site_fract_y
_atom_site_fract_z
Ba1 0.000 0.000 0.000
Cr1 0.500 0.500 0.000
Te1 0.000 0.500 0.500

---

# FeRhN3 | Alexandria via LeMat-Bulk | SCAN | single point on PBEsol structure
# Theoretical density (g cm⁻³): 7.21
# Calculated volume (A^3/atom): 9.24
# Uncorrected formation energy (meV per atom): 1344
# Magnetic moment (μB/f.u.): 0.00
data_FeRhN3
_cell_length_a 3.588
_cell_length_b 3.588
_cell_length_c 3.588
_cell_angle_alpha 90.00
_cell_angle_beta 90.00
_cell_angle_gamma 90.00
_symmetry_space_group_name_H-M 'P m -3 m'
_symmetry_Int_Tables_number 221
_symmetry_space_group_name_Hall '-P 4 2 3'
loop_
_atom_site_label
_atom_site_fract_x
_atom_site_fract_y
_atom_site_fract_z
Fe1 0.000 0.000 0.000
Rh1 0.500 0.500 0.500
N1 0.000 0.000 0.500

---

# GeSbS3 | Alexandria via LeMat-Bulk | SCAN | single point on PBEsol structure
# Theoretical density (g cm⁻³): 4.03
# Calculated volume (A^3/atom): 23.95
# Uncorrected formation energy (meV per atom): 514
# Magnetic moment (μB/f.u.): 0.00
data_GeSbS3
_cell_length_a 4.929
_cell_length_b 4.929
_cell_length_c 4.929
_cell_angle_alpha 90.00
_cell_angle_beta 90.00
_cell_angle_gamma 90.00
_symmetry_space_group_name_H-M 'P m -3 m'
_symmetry_Int_Tables_number 221
_symmetry_space_group_name_Hall '-P 4 2 3'
loop_
_atom_site_label
_atom_site_fract_x
_atom_site_fract_y
_atom_site_fract_z
Ge1 0.000 0.000 0.000
Sb1 0.500 0.500 0.500
S1 0.000 0.500 0.500

---

# BeReAsSe2 | Alexandria via LeMat-Bulk | SCAN | single point on PBEsol structure
# Theoretical density (g cm⁻³): 8.58
# Calculated volume (A^3/atom): 16.57
# Uncorrected formation energy (meV per atom): 1162
# Magnetic moment (μB/f.u.): 2.06
data_BeReAsSe2
_cell_length_a 4.447
_cell_length_b 4.447
_cell_length_c 4.189
_cell_angle_alpha 90.00
_cell_angle_beta 90.00
_cell_angle_gamma 90.00
_symmetry_space_group_name_H-M 'P 4/m m m'
_symmetry_Int_Tables_number 123
_symmetry_space_group_name_Hall '-P 4 2'
loop_
_atom_site_label
_atom_site_fract_x
_atom_site_fract_y
_atom_site_fract_z
Be1 0.000 0.000 0.000
Re1 0.500 0.500 0.500
As1 0.000 0.000 0.500
Se1 0.000 0.500 0.000

---

# ZrTaSi2 | Alexandria via LeMat-Bulk | SCAN | single point on PBEsol structure
# Theoretical density (g cm⁻³): 8.31
# Distance to the lowest polymorph of the same formula (meV/atom): 278
# Calculated volume (A^3/atom): 16.41
# Uncorrected formation energy (meV per atom): -349
# Magnetic moment (μB/f.u.): 0.00
data_ZrTaSi2
_cell_length_a 5.980
_cell_length_b 7.548
_cell_length_c 2.994
_cell_angle_alpha 90.00
_cell_angle_beta 103.75
_cell_angle_gamma 90.00
_symmetry_space_group_name_H-M 'C 1 2/m 1'
_symmetry_Int_Tables_number 12
loop_
_symmetry_equiv_pos_as_xyz
'x,y,z'
'-x,-y,-z'
'-x,y,-z'
'x,-y,z'
'x+1/2,y+1/2,z'
'-x+1/2,-y+1/2,-z'
'-x+1/2,y+1/2,-z'
'x+1/2,-y+1/2,z'
loop_
_atom_site_label
_atom_site_fract_x
_atom_site_fract_y
_atom_site_fract_z
Zr1 0.000 0.000 0.000
Ta1 0.000 0.500 0.000
Si1 0.250 0.250 0.500

---

# AgHg2Ru | Alexandria via LeMat-Bulk | SCAN | single point on PBEsol structure
# E_form (meV/atom): 400.8
# Theoretical density (g cm⁻³): 14.53
# Distance to the lowest polymorph of the same formula (meV/atom): 0
# Calculated volume (A^3/atom): 17.44
# Magnetic moment (μB/f.u.): 1.01
data_AgHg2Ru
_cell_length_a 2.9534
_cell_length_b 2.9534
_cell_length_c 27.6966
_cell_angle_alpha 90.00
_cell_angle_beta 90.00
_cell_angle_gamma 120.00
_symmetry_space_group_name_H-M 'R -3 m'
_symmetry_Int_Tables_number 166
_symmetry_space_group_name_Hall '-R 3 2"'
loop_
_atom_site_label
_atom_site_fract_x
_atom_site_fract_y
_atom_site_fract_z
Ag1 0.0000 0.0000 0.0000
Hg1 0.0000 0.0000 0.2475
Ru1 0.0000 0.0000 0.5000

---

# LiBe2Al | Alexandria via LeMat-Bulk | SCAN | single point on PBEsol structure
# E_form (meV/atom): 221.0
# Theoretical density (g cm⁻³): 1.93
# Calculated volume (A^3/atom): 11.17
# Magnetic moment (μB/f.u.): 0.00
data_LiBe2Al
_cell_length_a 2.820
_cell_length_b 2.820
_cell_length_c 5.622
_cell_angle_alpha 90.00
_cell_angle_beta 90.00
_cell_angle_gamma 90.00
_symmetry_space_group_name_H-M 'P 4/m m m'
_symmetry_Int_Tables_number 123
_symmetry_space_group_name_Hall '-P 4 2'
loop_
_atom_site_label
_atom_site_fract_x
_atom_site_fract_y
_atom_site_fract_z
Li1 0.000 0.000 0.000
Be1 0.500 0.500 0.235
Al1 0.000 0.000 0.500

---

# SiRh2Se | Alexandria via LeMat-Bulk | SCAN | single point on PBEsol structure
# Theoretical density (g cm⁻³): 9.10
# Distance to the lowest polymorph of the same formula (meV/atom): 64
# Calculated volume (A^3/atom): 14.27
# Uncorrected formation energy (meV per atom): -344
# Magnetic moment (μB/f.u.): 0.00
data_SiRh2Se
_cell_length_a 2.993
_cell_length_b 4.607
_cell_length_c 4.141
_cell_angle_alpha 90.00
_cell_angle_beta 90.00
_cell_angle_gamma 90.00
_symmetry_space_group_name_H-M 'P m m 2'
_symmetry_Int_Tables_number 25
loop_
_symmetry_equiv_pos_as_xyz
'x,y,z'
'-x,-y,z'
'-x,y,z'
'x,-y,z'
loop_
_atom_site_label
_atom_site_fract_x
_atom_site_fract_y
_atom_site_fract_z
Si1 0.000 0.000 0.000
Rh1 0.000 0.500 0.781
Rh2 0.500 0.000 0.503
Se1 0.500 0.500 0.278

---

# Co3SbMo | Alexandria via LeMat-Bulk | SCAN | single point on PBEsol structure
# Theoretical density (g cm⁻³): 7.87
# Distance to the lowest polymorph of the same formula (meV/atom): 0
# Calculated volume (A^3/atom): 16.66
# Uncorrected formation energy (meV per atom): 1552
# Magnetic moment (μB/f.u.): 0.00
data_Co3SbMo
_cell_length_a 4.367
_cell_length_b 4.367
_cell_length_c 4.367
_cell_angle_alpha 90.00
_cell_angle_beta 90.00
_cell_angle_gamma 90.00
_symmetry_space_group_name_H-M 'P m -3 m'
_symmetry_Int_Tables_number 221
_symmetry_space_group_name_Hall '-P 4 2 3'
loop_
_atom_site_label
_atom_site_fract_x
_atom_site_fract_y
_atom_site_fract_z
Co1 0.000 0.000 0.500
Sb1 0.500 0.500 0.500
Mo1 0.000 0.000 0.000

---

# SrAl2Cr | Alexandria via LeMat-Bulk | SCAN | single point on PBEsol structure
# E_form (meV/atom): -112.4
# Theoretical density (g cm⁻³): 3.30
# Calculated volume (A^3/atom): 24.38
# Magnetic moment (μB/f.u.): 4.30
data_SrAl2Cr
_cell_length_a 4.4461
_cell_length_b 4.4461
_cell_length_c 17.0927
_cell_angle_alpha 90.00
_cell_angle_beta 90.00
_cell_angle_gamma 120.00
_symmetry_space_group_name_H-M 'R 3 m'
_symmetry_Int_Tables_number 160
_symmetry_space_group_name_Hall 'R 3 -2"'
loop_
_atom_site_label
_atom_site_fract_x
_atom_site_fract_y
_atom_site_fract_z
Sr1 0.0000 0.0000 0.0000
Al1 0.0000 0.0000 0.1921
Al2 0.0000 0.0000 0.4765
Cr1 0.0000 0.0000 0.8118

---

# Mg2CrH | Alexandria via LeMat-Bulk | SCAN | single point on PBEsol structure
# Theoretical density (g cm⁻³): 2.73
# Calculated volume (A^3/atom): 15.47
# Magnetic moment (μB/f.u.): 4.25
data_Mg2CrH
_cell_length_a 6.884
_cell_length_b 6.884
_cell_length_c 5.224
_cell_angle_alpha 90.00
_cell_angle_beta 90.00
_cell_angle_gamma 90.00
_symmetry_space_group_name_H-M 'I -4 2 d'
_symmetry_Int_Tables_number 122
_symmetry_space_group_name_Hall 'I -4 2bw'
loop_
_atom_site_label
_atom_site_fract_x
_atom_site_fract_y
_atom_site_fract_z
Mg1 0.157 0.250 0.125
Cr1 0.000 0.000 0.500
H1 0.000 0.000 0.000

---

Here are the calculated DFT total energy numbers, same order: -30.58 -48.01 -13.74 -66.96 -17.15 -13.45 -52.30 -18.87 -8.63 -33.78 -14.61 -16.53 -26.00 -29.68 -50.23 -4.49 -24.75 -23.26 -14.15 -7.62 (eV per atom).